Compound: YGa2Pt4
Source: Alexandria
Functional: GGA-PBE
Structure: relaxed

Cell lengths 7.844, 7.844, 3.987 Å; angles 90.00, 90.00, 90.00 degrees
Sites, in units of the cell vectors:
Y  0.000  0.000  0.000
Y  0.500  0.500  0.500
Ga  0.225  0.225  0.500
Ga  0.275  0.725  0.000
Ga  0.725  0.275  0.000
Ga  0.775  0.775  0.500
Pt  0.078  0.671  0.500
Pt  0.171  0.422  0.000
Pt  0.329  0.922  0.500
Pt  0.422  0.171  0.000
Pt  0.578  0.829  0.000
Pt  0.671  0.078  0.500
Pt  0.829  0.578  0.000
Pt  0.922  0.329  0.500

## Properties
M_tot	0.0	Bohr magnetons per cell
total energy	-85.020	eV/cell
DFT formation energy	-0.83	eV/atom
E above lowest polymorph	0.0000	eV/atom